Entry from OQMD via LeMat-Bulk: a relaxed structure of SnOsAu2 (PBE).

a = 4.6569 Å, b = 4.6569 Å, c = 4.6569 Å
α = 60.00°, β = 60.00°, γ = 60.00°
With the nearest neighbours (Å) after each atom.
Atoms (fractional coordinates):
1 Os 0.2500 0.2500 0.2500  4 Sn 2.85, 4 Au 2.85
2 Au 0.7500 0.7500 0.7500  4 Sn 2.85, 4 Au 2.85
3 Au 0.0000 0.0000 0.0000  4 Au 2.85, 4 Os 2.85
4 Sn 0.5000 0.5000 0.5000  4 Au 2.85, 4 Os 2.85

Summary:
The calculation puts the calculated volume at 17.85 Å³ per atom. Its spin magnetization is 0.01 μB per cell. The value obtained for the total DFT energy (no corrections) is -4.98 eV per atom.